Density functional theory data (PBEsol) for a geometry-optimized BaSi23 structure.

a = 10.2087 Å, b = 10.2087 Å, c = 10.2087 Å
α = 90.00°, β = 90.00°, γ = 90.00°
Fractional positions:
Ba: 0.0000 0.0000 0.0000
Ba: 0.5000 0.5000 0.5000
Si: 0.2500 0.0000 0.5000
Si: 0.7500 0.0000 0.5000
Si: 0.5000 0.2500 0.0000
Si: 0.5000 0.7500 0.0000
Si: 0.0000 0.5000 0.2500
Si: 0.0000 0.5000 0.7500
Si: 0.1848 0.1848 0.1848
Si: 0.8152 0.8152 0.1848
Si: 0.8152 0.1848 0.8152
Si: 0.1848 0.8152 0.8152
Si: 0.6848 0.6848 0.3152
Si: 0.3152 0.3152 0.3152
Si: 0.6848 0.3152 0.6848
Si: 0.3152 0.6848 0.6848
Si: 0.8152 0.8152 0.8152
Si: 0.1848 0.1848 0.8152
Si: 0.1848 0.8152 0.1848
Si: 0.8152 0.1848 0.1848
Si: 0.3152 0.3152 0.6848
Si: 0.6848 0.6848 0.6848
Si: 0.3152 0.6848 0.3152
Si: 0.6848 0.3152 0.3152
Si: 0.0000 0.3097 0.1165
Si: 0.0000 0.6903 0.1165
Si: 0.0000 0.3097 0.8835
Si: 0.0000 0.6903 0.8835
Si: 0.1165 0.0000 0.3097
Si: 0.1165 0.0000 0.6903
Si: 0.8835 0.0000 0.3097
Si: 0.8835 0.0000 0.6903
Si: 0.3097 0.1165 0.0000
Si: 0.6903 0.1165 0.0000
Si: 0.3097 0.8835 0.0000
Si: 0.6903 0.8835 0.0000
Si: 0.8097 0.5000 0.3835
Si: 0.1903 0.5000 0.3835
Si: 0.8097 0.5000 0.6165
Si: 0.1903 0.5000 0.6165
Si: 0.5000 0.6165 0.1903
Si: 0.5000 0.6165 0.8097
Si: 0.5000 0.3835 0.1903
Si: 0.5000 0.3835 0.8097
Si: 0.6165 0.8097 0.5000
Si: 0.6165 0.1903 0.5000
Si: 0.3835 0.8097 0.5000
Si: 0.3835 0.1903 0.5000

- uncorrected formation energy (meV/atom) = 27
- V (Å³ per cell) = 1063.9
- total DFT energy (no corrections) (eV/atom) = -5.570


Density functional theory data (PBEsol) for a geometry-optimized BaSi7 structure.

a = 5.9336 Å, b = 5.9336 Å, c = 5.9336 Å
α = 60.00°, β = 60.00°, γ = 60.00°
Fractional positions:
Ba: 0.0000 0.0000 0.0000
Si: 0.0000 0.0000 0.5000
Si: 0.0000 0.5000 0.0000
Si: 0.5000 0.0000 0.0000
Si: 0.5000 0.5000 0.0000
Si: 0.5000 0.0000 0.5000
Si: 0.0000 0.5000 0.5000
Si: 0.5000 0.5000 0.5000

- uncorrected formation energy (meV/atom) = 580
- V (Å³ per cell) = 147.7
- total DFT energy (no corrections) (eV/atom) = -4.717


Density functional theory data (PBEsol) for a geometry-optimized Ba5Si structure.

a = 4.2791 Å, b = 7.5990 Å, c = 10.0977 Å
α = 69.43°, β = 77.77°, γ = 73.65°
Fractional positions:
Si: 0.6944 0.5000 0.1111
Ba: 0.0728 0.8608 0.9937
Ba: 0.6944 0.0000 0.6111
Ba: 0.3161 0.1393 0.2285
Ba: 0.3479 0.4494 0.8547
Ba: 0.0410 0.5506 0.3675

- uncorrected formation energy (meV/atom) = -97
- V (Å³ per cell) = 292.6
- total DFT energy (no corrections) (eV/atom) = -2.846


Density functional theory data (PBEsol) for a geometry-optimized BaSi2 structure.

a = 4.1021 Å, b = 4.1021 Å, c = 5.0100 Å
α = 90.00°, β = 90.00°, γ = 120.00°
Fractional positions:
Si: 0.3333 0.6667 0.5000
Si: 0.6667 0.3333 0.5000
Ba: 0.0000 0.0000 0.0000

- uncorrected formation energy (meV/atom) = -391
- V (Å³ per cell) = 73.0
- total DFT energy (no corrections) (eV/atom) = -4.938


Density functional theory data (PBEsol) for a geometry-optimized Ba3Si structure.

a = 4.0235 Å, b = 5.6855 Å, c = 8.6298 Å
α = 109.23°, β = 103.48°, γ = 90.00°
Fractional positions:
Ba: 0.6619 0.6619 0.3238
Ba: 0.5000 0.0000 0.0000
Ba: 0.3381 0.3381 0.6762
Si: 0.0000 0.5000 0.0000

- uncorrected formation energy (meV/atom) = -137
- V (Å³ per cell) = 180.6
- total DFT energy (no corrections) (eV/atom) = -3.185
- E above lowest polymorph (kJ/mol of formula units) = 20


Density functional theory data (PBEsol) for a geometry-optimized Ba3Si structure.

a = 7.3661 Å, b = 8.4384 Å, c = 11.0818 Å
α = 90.00°, β = 90.00°, γ = 90.00°
Fractional positions:
Ba: 0.1242 0.0320 0.7500
Ba: 0.6242 0.4680 0.2500
Ba: 0.3758 0.5320 0.7500
Ba: 0.8758 0.9680 0.2500
Ba: 0.6865 0.1697 0.9359
Ba: 0.1865 0.3303 0.0641
Ba: 0.8135 0.6697 0.5641
Ba: 0.3135 0.8303 0.4359
Ba: 0.3135 0.8303 0.0641
Ba: 0.8135 0.6697 0.9359
Ba: 0.1865 0.3303 0.4359
Ba: 0.6865 0.1697 0.5641
Si: 0.5449 0.8948 0.7500
Si: 0.0449 0.6052 0.2500
Si: 0.9551 0.3948 0.7500
Si: 0.4551 0.1052 0.2500

- uncorrected formation energy (meV/atom) = -188
- V (Å³ per cell) = 688.8
- total DFT energy (no corrections) (eV/atom) = -3.237
- E above lowest polymorph (kJ/mol of formula units) = 0


Density functional theory data (PBEsol) for a geometry-optimized BaSi2 structure.

a = 6.6848 Å, b = 6.6848 Å, c = 6.6848 Å
α = 90.00°, β = 90.00°, γ = 90.00°
Fractional positions:
Si: 0.4184 0.4184 0.4184
Si: 0.0816 0.5816 0.9184
Si: 0.5816 0.9184 0.0816
Si: 0.9184 0.0816 0.5816
Si: 0.6684 0.1684 0.3316
Si: 0.8316 0.8316 0.8316
Si: 0.1684 0.3316 0.6684
Si: 0.3316 0.6684 0.1684
Ba: 0.1250 0.1250 0.1250
Ba: 0.3750 0.8750 0.6250
Ba: 0.8750 0.6250 0.3750
Ba: 0.6250 0.3750 0.8750

- uncorrected formation energy (meV/atom) = -400
- V (Å³ per cell) = 298.7
- total DFT energy (no corrections) (eV/atom) = -4.948


Density functional theory data (PBEsol) for a geometry-optimized BaSi2 structure.

a = 5.2124 Å, b = 5.2124 Å, c = 6.4344 Å
α = 90.00°, β = 90.00°, γ = 120.00°
Fractional positions:
Ba: 0.3333 0.6667 0.7500
Ba: 0.6667 0.3333 0.2500
Si: 0.0000 0.0000 0.0000
Si: 0.0000 0.0000 0.5000
Si: 0.6667 0.3333 0.7500
Si: 0.3333 0.6667 0.2500

- uncorrected formation energy (meV/atom) = 355
- V (Å³ per cell) = 151.4
- total DFT energy (no corrections) (eV/atom) = -4.192


Density functional theory data (PBEsol) for a geometry-optimized BaSi2 structure.

a = 4.0455 Å, b = 4.0455 Å, c = 5.2134 Å
α = 90.00°, β = 90.00°, γ = 120.00°
Fractional positions:
Si: 0.3333 0.6667 0.5566
Si: 0.6667 0.3333 0.4434
Ba: 0.0000 0.0000 0.0000

- uncorrected formation energy (meV/atom) = -405
- V (Å³ per cell) = 73.9
- total DFT energy (no corrections) (eV/atom) = -4.953


Density functional theory data (PBEsol) for a geometry-optimized Ba2Si structure.

a = 5.2951 Å, b = 8.3357 Å, c = 10.0306 Å
α = 90.00°, β = 90.00°, γ = 90.00°
Fractional positions:
Ba: 0.7500 0.1458 0.9181
Ba: 0.2500 0.3542 0.4181
Ba: 0.2500 0.8542 0.0819
Ba: 0.7500 0.6458 0.5819
Ba: 0.7500 0.0235 0.3279
Ba: 0.2500 0.4765 0.8279
Ba: 0.2500 0.9765 0.6721
Ba: 0.7500 0.5235 0.1721
Si: 0.7500 0.7492 0.8956
Si: 0.2500 0.7508 0.3956
Si: 0.2500 0.2508 0.1044
Si: 0.7500 0.2492 0.6044

- uncorrected formation energy (meV/atom) = -339
- V (Å³ per cell) = 442.7
- total DFT energy (no corrections) (eV/atom) = -3.687


Density functional theory data (PBEsol) for a geometry-optimized BaSrSi4 structure.

a = 6.5934 Å, b = 6.5935 Å, c = 6.5863 Å
α = 90.00°, β = 90.00°, γ = 90.59°
Fractional positions:
Sr: 0.3748 0.3748 0.0000
Sr: 0.6252 0.6252 0.5000
Si: 0.4221 0.1762 0.4526
Si: 0.5779 0.8238 0.9526
Si: 0.0820 0.6640 0.2918
Si: 0.9180 0.3360 0.7918
Si: 0.8238 0.5779 0.0474
Si: 0.6640 0.0820 0.7082
Si: 0.1762 0.4221 0.5474
Si: 0.3360 0.9180 0.2082
Ba: 0.1242 0.8758 0.7500
Ba: 0.8758 0.1242 0.2500

- uncorrected formation energy (meV/atom) = -404
- V (Å³ per cell) = 286.3
- total DFT energy (no corrections) (eV/atom) = -4.900
- E above lowest polymorph (kJ/mol of formula units) = 0


Density functional theory data (PBEsol) for a geometry-optimized Ba2SrSi2 structure.

a = 4.9105 Å, b = 4.9105 Å, c = 7.7093 Å
α = 108.57°, β = 108.57°, γ = 90.00°
Fractional positions:
Sr: 0.0000 0.0000 0.0000
Si: 0.4164 0.4164 0.8327
Si: 0.5836 0.5836 0.1673
Ba: 0.2500 0.7500 0.5000
Ba: 0.7500 0.2500 0.5000

- uncorrected formation energy (meV/atom) = -143
- V (Å³ per cell) = 166.0
- total DFT energy (no corrections) (eV/atom) = -3.669
- E above lowest polymorph (kJ/mol of formula units) = 96